(1)
Here is a relaxed Cd3Rh crystal from the Alexandria database. Energies are from PBEsol.

Cell and atoms, written as CIF:
```
data_Cd3Rh
_chemical_formula_sum 'Cd3 Rh1'
_cell_length_a 4.630
_cell_length_b 4.630
_cell_length_c 4.630
_cell_angle_alpha 60.00
_cell_angle_beta 60.00
_cell_angle_gamma 60.00
_symmetry_space_group_name_H-M 'P 1'
_symmetry_Int_Tables_number 1
loop_
_symmetry_equiv_pos_as_xyz
'x,y,z'
loop_
_atom_site_label
_atom_site_fract_x
_atom_site_fract_y
_atom_site_fract_z
Rh1 0.500 0.500 0.500
Cd1 0.250 0.250 0.250
Cd2 0.000 0.000 0.000
Cd3 0.750 0.750 0.750
```

Properties
calculated formation energy = -39 meV/atom
density of states at the Fermi level = 1.71 states/eV per cell
M_tot = 0.000 μB per formula unit

---

(2)
Here is a relaxed MgCoAu2 crystal from the Alexandria database. Energies are from PBEsol.

Cell and atoms, written as CIF:
```
data_MgCoAu2
_chemical_formula_sum 'Mg1 Co1 Au2'
_cell_length_a 3.298
_cell_length_b 3.298
_cell_length_c 5.715
_cell_angle_alpha 90.00
_cell_angle_beta 90.00
_cell_angle_gamma 90.00
_symmetry_space_group_name_H-M 'P 1'
_symmetry_Int_Tables_number 1
loop_
_symmetry_equiv_pos_as_xyz
'x,y,z'
loop_
_atom_site_label
_atom_site_fract_x
_atom_site_fract_y
_atom_site_fract_z
Mg1 0.500 0.500 0.746
Au1 0.500 0.500 0.281
Au2 0.000 0.000 0.990
Co1 0.000 0.000 0.483
```

Properties
calculated formation energy = -40 meV/atom
density of states at the Fermi level = 3.65 states/eV per cell
M_tot = 1.442 μB per formula unit

---

(3)
Here is a relaxed SrHg2TePd crystal from the Alexandria database. Energies are from PBEsol.

Cell and atoms, written as CIF:
```
data_SrHg2TePd
_chemical_formula_sum 'Sr1 Hg2 Te1 Pd1'
_cell_length_a 4.896
_cell_length_b 5.657
_cell_length_c 5.657
_cell_angle_alpha 90.00
_cell_angle_beta 90.00
_cell_angle_gamma 90.00
_symmetry_space_group_name_H-M 'P 1'
_symmetry_Int_Tables_number 1
loop_
_symmetry_equiv_pos_as_xyz
'x,y,z'
loop_
_atom_site_label
_atom_site_fract_x
_atom_site_fract_y
_atom_site_fract_z
Te1 0.000 0.000 0.000
Sr1 0.500 0.500 0.500
Pd1 0.500 0.000 0.000
Hg1 0.000 0.000 0.500
Hg2 0.000 0.500 0.000
```

Properties
density of states at the Fermi level = 2.22 states/eV per cell
M_tot = 0.000 μB per formula unit
formation energy (no corrections) = -24 meV/atom

---

(4)
Here is a relaxed Y2MnRu crystal from the Alexandria database. Energies are from PBEsol.

Cell and atoms, written as CIF:
```
data_Y2MnRu
_chemical_formula_sum 'Y2 Mn1 Ru1'
_cell_length_a 4.761
_cell_length_b 4.761
_cell_length_c 4.761
_cell_angle_alpha 60.00
_cell_angle_beta 60.00
_cell_angle_gamma 60.00
_symmetry_space_group_name_H-M 'P 1'
_symmetry_Int_Tables_number 1
loop_
_symmetry_equiv_pos_as_xyz
'x,y,z'
loop_
_atom_site_label
_atom_site_fract_x
_atom_site_fract_y
_atom_site_fract_z
Ru1 0.250 0.250 0.250
Y1 0.750 0.750 0.750
Y2 0.000 0.000 0.000
Mn1 0.500 0.500 0.500
```

Properties
calculated formation energy = 284 meV/atom
density of states at the Fermi level = 5.49 states/eV per cell
M_tot = 4.175 μB per formula unit

---

(5)
Here is a relaxed Li13Ti28O56 crystal from the Alexandria database. Energies are from PBEsol.

Cell and atoms, written as CIF:
```
data_Li13Ti28O56
_chemical_formula_sum 'Li13 Ti28 O56'
_cell_length_a 10.239
_cell_length_b 10.239
_cell_length_c 10.239
_cell_angle_alpha 99.59
_cell_angle_beta 99.59
_cell_angle_gamma 99.59
_symmetry_space_group_name_H-M 'P 1'
_symmetry_Int_Tables_number 1
loop_
_symmetry_equiv_pos_as_xyz
'x,y,z'
loop_
_atom_site_label
_atom_site_fract_x
_atom_site_fract_y
_atom_site_fract_z
O1 0.596 0.596 0.596
O2 0.534 0.948 0.326
O3 0.310 0.023 0.452
O4 0.880 0.166 0.737
O5 0.262 0.405 0.691
O6 0.833 0.547 0.977
O7 0.820 0.520 0.470
O8 0.102 0.608 0.623
O9 0.691 0.262 0.405
O10 0.092 0.611 0.106
O11 0.388 0.180 0.765
O12 0.801 0.042 0.962
O13 0.337 0.531 0.466
O14 0.977 0.833 0.547
O15 0.663 0.755 0.391
O16 0.673 0.752 0.909
O17 0.452 0.310 0.023
O18 0.249 0.378 0.184
O19 0.326 0.534 0.948
O20 0.466 0.337 0.531
O21 0.052 0.959 0.324
O22 0.962 0.801 0.042
O23 0.520 0.470 0.820
O24 0.106 0.092 0.611
O25 0.611 0.106 0.092
O26 0.378 0.184 0.249
O27 0.245 0.894 0.195
O28 0.180 0.765 0.388
O29 0.479 0.816 0.037
O30 0.959 0.324 0.052
O31 0.184 0.249 0.378
O32 0.752 0.909 0.673
O33 0.547 0.977 0.833
O34 0.948 0.326 0.534
O35 0.023 0.452 0.310
O36 0.324 0.052 0.959
O37 0.755 0.391 0.663
O38 0.531 0.466 0.337
O39 0.123 0.123 0.123
O40 0.405 0.691 0.262
O41 0.391 0.663 0.755
O42 0.235 0.898 0.677
O43 0.898 0.677 0.235
O44 0.166 0.737 0.880
O45 0.042 0.962 0.801
O46 0.470 0.820 0.520
O47 0.816 0.037 0.479
O48 0.909 0.673 0.752
O49 0.037 0.479 0.816
O50 0.677 0.235 0.898
O51 0.195 0.245 0.894
O52 0.765 0.388 0.180
O53 0.623 0.102 0.608
O54 0.737 0.880 0.166
O55 0.608 0.623 0.102
O56 0.894 0.195 0.245
Ti1 0.072 0.284 0.213
Ti2 0.928 0.500 0.144
Ti3 0.643 0.429 0.501
Ti4 0.213 0.072 0.284
Ti5 0.357 0.857 0.358
Ti6 0.501 0.643 0.429
Ti7 0.500 0.144 0.928
Ti8 0.643 0.929 0.499
Ti9 0.929 0.499 0.643
Ti10 0.071 0.786 0.213
Ti11 0.644 0.930 0.000
Ti12 0.785 0.214 0.570
Ti13 0.715 0.071 0.787
Ti14 0.787 0.715 0.071
Ti15 0.499 0.643 0.929
Ti16 0.213 0.071 0.786
Ti17 0.000 0.644 0.930
Ti18 0.570 0.785 0.214
Ti19 0.214 0.570 0.785
Ti20 0.357 0.357 0.357
Ti21 0.930 0.000 0.644
Ti22 0.284 0.213 0.072
Ti23 0.144 0.928 0.500
Ti24 0.071 0.787 0.715
Ti25 0.429 0.501 0.643
Ti26 0.786 0.213 0.071
Ti27 0.857 0.358 0.357
Ti28 0.358 0.357 0.857
Li1 0.161 0.589 0.446
Li2 0.268 0.553 0.125
Li3 0.876 0.017 0.301
Li4 0.017 0.301 0.876
Li5 0.411 0.839 0.697
Li6 0.697 0.411 0.839
Li7 0.446 0.161 0.589
Li8 0.734 0.734 0.734
Li9 0.839 0.697 0.411
Li10 0.125 0.268 0.553
Li11 0.589 0.446 0.161
Li12 0.301 0.876 0.017
Li13 0.553 0.125 0.268
```

Properties
density of states at the Fermi level = 36.70 states/eV per cell
M_tot = 0.004 μB per formula unit
formation energy (no corrections) = -2892 meV/atom

---

(6)
Here is a relaxed Li2ScAu crystal from the Alexandria database. Energies are from PBEsol.

Cell and atoms, written as CIF:
```
data_Li2ScAu
_chemical_formula_sum 'Li2 Sc1 Au1'
_cell_length_a 4.277
_cell_length_b 4.759
_cell_length_c 4.277
_cell_angle_alpha 116.70
_cell_angle_beta 90.00
_cell_angle_gamma 116.70
_symmetry_space_group_name_H-M 'P 1'
_symmetry_Int_Tables_number 1
loop_
_symmetry_equiv_pos_as_xyz
'x,y,z'
loop_
_atom_site_label
_atom_site_fract_x
_atom_site_fract_y
_atom_site_fract_z
Au1 0.750 0.500 0.250
Li1 0.500 0.000 0.500
Li2 0.250 0.500 0.750
Sc1 0.000 0.000 0.000
```

Properties
calculated formation energy = -357 meV/atom
density of states at the Fermi level = 3.76 states/eV per cell
M_tot = 0.000 μB per formula unit
distance to the lowest polymorph of the same formula = 0 meV per atom

---

(7)
Here is a relaxed La2AlAs crystal from the Alexandria database. Energies are from PBEsol.

Cell and atoms, written as CIF:
```
data_La2AlAs
_chemical_formula_sum 'La2 Al1 As1'
_cell_length_a 4.089
_cell_length_b 4.951
_cell_length_c 4.951
_cell_angle_alpha 90.00
_cell_angle_beta 90.00
_cell_angle_gamma 90.00
_symmetry_space_group_name_H-M 'P 1'
_symmetry_Int_Tables_number 1
loop_
_symmetry_equiv_pos_as_xyz
'x,y,z'
loop_
_atom_site_label
_atom_site_fract_x
_atom_site_fract_y
_atom_site_fract_z
Al1 0.500 0.500 0.000
La1 0.000 0.000 0.000
La2 0.000 0.500 0.500
As1 0.500 0.000 0.500
```

Properties
calculated formation energy = -695 meV/atom
density of states at the Fermi level = 3.26 states/eV per cell
M_tot = 0.000 μB per formula unit
distance to the lowest polymorph of the same formula = 0 meV per atom

---

(8)
Here is a relaxed RhBr3 crystal from the Alexandria database. Energies are from PBEsol.

Cell and atoms, written as CIF:
```
data_RhBr3
_chemical_formula_sum 'Rh1 Br3'
_cell_length_a 3.519
_cell_length_b 3.481
_cell_length_c 9.443
_cell_angle_alpha 90.00
_cell_angle_beta 90.00
_cell_angle_gamma 120.36
_symmetry_space_group_name_H-M 'P 1'
_symmetry_Int_Tables_number 1
loop_
_symmetry_equiv_pos_as_xyz
'x,y,z'
loop_
_atom_site_label
_atom_site_fract_x
_atom_site_fract_y
_atom_site_fract_z
Br1 0.000 0.000 0.323
Br2 0.000 0.000 0.677
Br3 0.500 0.000 0.000
Rh1 0.500 0.000 0.500
```

Properties
density of states at the Fermi level = 5.22 states/eV per cell
M_tot = 1.176 μB per formula unit
formation energy (no corrections) = 179 meV/atom

---

(9)
Here is a relaxed CoBiP2S crystal from the Alexandria database. Energies are from PBEsol.

Cell and atoms, written as CIF:
```
data_CoBiP2S
_chemical_formula_sum 'Co1 Bi1 P2 S1'
_cell_length_a 5.121
_cell_length_b 5.137
_cell_length_c 5.137
_cell_angle_alpha 90.00
_cell_angle_beta 90.00
_cell_angle_gamma 90.00
_symmetry_space_group_name_H-M 'P 1'
_symmetry_Int_Tables_number 1
loop_
_symmetry_equiv_pos_as_xyz
'x,y,z'
loop_
_atom_site_label
_atom_site_fract_x
_atom_site_fract_y
_atom_site_fract_z
Co1 0.500 0.500 0.500
S1 0.500 0.000 0.000
P1 0.000 0.500 0.000
P2 0.000 0.000 0.500
Bi1 0.000 0.000 0.000
```

Properties
density of states at the Fermi level = 5.17 states/eV per cell
M_tot = 3.346 μB per formula unit
formation energy (no corrections) = 1779 meV/atom

---

(10)
Here is a relaxed ZrFeAu3 crystal from the Alexandria database. Energies are from PBEsol.

Cell and atoms, written as CIF:
```
data_ZrFeAu3
_chemical_formula_sum 'Zr1 Fe1 Au3'
_cell_length_a 4.660
_cell_length_b 4.660
_cell_length_c 4.660
_cell_angle_alpha 90.00
_cell_angle_beta 90.00
_cell_angle_gamma 90.00
_symmetry_space_group_name_H-M 'P 1'
_symmetry_Int_Tables_number 1
loop_
_symmetry_equiv_pos_as_xyz
'x,y,z'
loop_
_atom_site_label
_atom_site_fract_x
_atom_site_fract_y
_atom_site_fract_z
Au1 0.000 0.500 0.000
Au2 0.000 0.000 0.500
Au3 0.500 0.000 0.000
Fe1 0.000 0.000 0.000
Zr1 0.500 0.500 0.500
```

Properties
calculated formation energy = 602 meV/atom
density of states at the Fermi level = 6.90 states/eV per cell
M_tot = 3.768 μB per formula unit

---

(11)
Here is a relaxed KRe3 crystal from the Alexandria database. Energies are from PBEsol.

Cell and atoms, written as CIF:
```
data_KRe3
_chemical_formula_sum 'K1 Re3'
_cell_length_a 4.480
_cell_length_b 4.480
_cell_length_c 4.480
_cell_angle_alpha 60.00
_cell_angle_beta 60.00
_cell_angle_gamma 60.00
_symmetry_space_group_name_H-M 'P 1'
_symmetry_Int_Tables_number 1
loop_
_symmetry_equiv_pos_as_xyz
'x,y,z'
loop_
_atom_site_label
_atom_site_fract_x
_atom_site_fract_y
_atom_site_fract_z
Re1 0.500 0.500 0.500
Re2 0.750 0.750 0.750
Re3 0.250 0.250 0.250
K1 0.000 0.000 0.000
```

Properties
calculated formation energy = 1572 meV/atom
density of states at the Fermi level = 3.47 states/eV per cell
M_tot = 0.000 μB per formula unit

---

(12)
Here is a relaxed LiYCo2 crystal from the Alexandria database. Energies are from PBEsol.

Cell and atoms, written as CIF:
```
data_LiYCo2
_chemical_formula_sum 'Li1 Y1 Co2'
_cell_length_a 4.338
_cell_length_b 4.338
_cell_length_c 4.338
_cell_angle_alpha 60.00
_cell_angle_beta 60.00
_cell_angle_gamma 60.00
_symmetry_space_group_name_H-M 'P 1'
_symmetry_Int_Tables_number 1
loop_
_symmetry_equiv_pos_as_xyz
'x,y,z'
loop_
_atom_site_label
_atom_site_fract_x
_atom_site_fract_y
_atom_site_fract_z
Co1 0.000 0.000 0.000
Co2 0.750 0.750 0.750
Y1 0.250 0.250 0.250
Li1 0.500 0.500 0.500
```

Properties
calculated formation energy = 207 meV/atom
density of states at the Fermi level = 4.26 states/eV per cell
M_tot = 1.907 μB per formula unit
distance to the lowest polymorph of the same formula = 0 meV per atom

---

| no. | ρ (g/cm3) |
| --- | --- |
| 1 | 10.41 |
| 2 | 12.74 |
| 3 | 7.66 |
| 4 | 7.26 |
| 5 | 3.78 |
| 6 | 6.32 |
| 7 | 6.29 |
| 8 | 5.70 |
| 9 | 4.45 |
| 10 | 12.11 |
| 11 | 15.61 |
| 12 | 6.15 |